# 1
Here is a relaxed structure of TbPaCo from Alexandria. Energies are from GGA-PBE.

a b c (Å): 6.8711 5.9495 6.7727
angles (deg): 90.00 105.61 90.00
Atoms (fractional coordinates):
Tb: 0.1495 0.1428 0.3604
Tb: 0.1495 0.3572 0.8604
Tb: 0.8505 0.6428 0.1396
Tb: 0.8505 0.8572 0.6396
Pa: 0.4066 0.6496 0.3106
Pa: 0.4066 0.8504 0.8106
Pa: 0.5934 0.1496 0.1894
Pa: 0.5934 0.3504 0.6894
Co: 0.1729 0.6318 0.5135
Co: 0.1729 0.8682 0.0135
Co: 0.8271 0.1318 0.9865
Co: 0.8271 0.3682 0.4865

Results
The calculation puts the density of states at the Fermi level at 15.66 states/eV per cell. Its space group is P2_1/c. The calculation puts the excess energy over the best structure of this formula in the dataset at 0.0000 eV per atom. The size of the total moment comes out at 0.000 μB/f.u.

---

# 2
Here is a relaxed structure of ZrCd2Co from Alexandria. Energies are from GGA-PBE.

a b c (Å): 2.9153 4.7054 5.6270
angles (deg): 90.00 104.59 90.00
Atoms (fractional coordinates):
Zr: 0.0000 0.0000 0.0000
Cd: 0.3476 0.5000 0.7312
Cd: 0.6524 0.5000 0.2688
Co: 0.5000 0.0000 0.5000

Results
The calculation puts the density of states at the Fermi level at 3.63 states/eV per cell. Its space group is P2/m. The calculation puts the excess energy over the best structure of this formula in the dataset at 0.2223 eV per atom. The size of the total moment comes out at 1.233 μB/f.u.

---

# 3
Here is a relaxed structure of LiLaSn3 from Alexandria. Energies are from GGA-PBE.

a b c (Å): 12.4717 12.4717 4.5957
angles (deg): 90.00 90.00 158.68
Atoms (fractional coordinates):
Li: 0.1129 0.8871 0.0000
Li: 0.8871 0.1129 0.0000
La: 0.3332 0.6668 0.5000
La: 0.6668 0.3332 0.5000
Sn: 0.0580 0.9420 0.5000
Sn: 0.2157 0.7843 0.0000
Sn: 0.4416 0.5584 0.0000
Sn: 0.5584 0.4416 0.0000
Sn: 0.7843 0.2157 0.0000
Sn: 0.9420 0.0580 0.5000

Results
The calculation puts the density of states at the Fermi level at 2.58 states/eV per cell. Its space group is Cmmm. The calculation puts the excess energy over the best structure of this formula in the dataset at 0.0000 eV per atom. The size of the total moment comes out at 0.000 μB/f.u.

---

# 4
Here is a relaxed structure of Ti5Ga3Mo from Alexandria. Energies are from GGA-PBE.

a b c (Å): 7.8341 7.8341 5.3840
angles (deg): 90.00 90.00 120.00
Atoms (fractional coordinates):
Ti: 0.0000 0.3251 0.2500
Ti: 0.0000 0.6749 0.7500
Ti: 0.3251 0.0000 0.2500
Ti: 0.3251 0.3251 0.7500
Ti: 0.3333 0.6667 0.0000
Ti: 0.3333 0.6667 0.5000
Ti: 0.6667 0.3333 0.0000
Ti: 0.6667 0.3333 0.5000
Ti: 0.6749 0.0000 0.7500
Ti: 0.6749 0.6749 0.2500
Ga: 0.0000 0.3386 0.7500
Ga: 0.0000 0.6614 0.2500
Ga: 0.3386 0.0000 0.7500
Ga: 0.3386 0.3386 0.2500
Ga: 0.6614 0.0000 0.2500
Ga: 0.6614 0.6614 0.7500
Mo: 0.0000 0.0000 0.0000
Mo: 0.0000 0.0000 0.5000

Results
The calculation puts the density of states at the Fermi level at 16.83 states/eV per cell. Its space group is P6_3/mcm. The calculation puts the excess energy over the best structure of this formula in the dataset at 0.0000 eV per atom. The size of the total moment comes out at 0.000 μB/f.u.

---

# 5
Here is a relaxed structure of NaB3Pt3 from Alexandria. Energies are from GGA-PBE.

a b c (Å): 5.9494 5.9494 5.9494
angles (deg): 90.00 90.00 90.00
Atoms (fractional coordinates):
Na: 0.0000 0.0000 0.0000
Na: 0.5000 0.5000 0.5000
B: 0.0000 0.2500 0.5000
B: 0.0000 0.7500 0.5000
B: 0.2500 0.5000 0.0000
B: 0.5000 0.0000 0.2500
B: 0.5000 0.0000 0.7500
B: 0.7500 0.5000 0.0000
Pt: 0.0000 0.5000 0.2500
Pt: 0.0000 0.5000 0.7500
Pt: 0.2500 0.0000 0.5000
Pt: 0.5000 0.2500 0.0000
Pt: 0.5000 0.7500 0.0000
Pt: 0.7500 0.0000 0.5000

Results
The calculation puts the density of states at the Fermi level at 5.73 states/eV per cell. Its space group is Pm-3n. The uncorrected energy comes out at -5.790 eV per atom. The size of the total moment comes out at 0.000 μB/f.u.

---

# 6
Here is a relaxed structure of CsRb from Alexandria. Energies are from GGA-PBE.

a b c (Å): 13.7782 13.7782 8.2278
angles (deg): 90.00 90.00 120.00
Atoms (fractional coordinates):
Cs: 0.0952 0.4723 0.2500
Cs: 0.3771 0.9048 0.2500
Cs: 0.4723 0.3771 0.7500
Cs: 0.5277 0.6229 0.2500
Cs: 0.6229 0.0952 0.7500
Cs: 0.9048 0.5277 0.7500
Rb: 0.0544 0.2312 0.7500
Rb: 0.1768 0.9456 0.7500
Rb: 0.2312 0.1768 0.2500
Rb: 0.7688 0.8232 0.7500
Rb: 0.8232 0.0544 0.2500
Rb: 0.9456 0.7688 0.2500

Results
The calculation puts the density of states at the Fermi level at 13.12 states/eV per cell. Its space group is P6_3/m. The calculation puts the excess energy over the best structure of this formula in the dataset at 0.0542 eV per atom. The size of the total moment comes out at 0.000 μB/f.u.

---

Please write out number 5 again, unchanged.
Here is a relaxed structure of NaB3Pt3 from Alexandria. Energies are from GGA-PBE.

a b c (Å): 5.9494 5.9494 5.9494
angles (deg): 90.00 90.00 90.00
Atoms (fractional coordinates):
Na: 0.0000 0.0000 0.0000
Na: 0.5000 0.5000 0.5000
B: 0.0000 0.2500 0.5000
B: 0.0000 0.7500 0.5000
B: 0.2500 0.5000 0.0000
B: 0.5000 0.0000 0.2500
B: 0.5000 0.0000 0.7500
B: 0.7500 0.5000 0.0000
Pt: 0.0000 0.5000 0.2500
Pt: 0.0000 0.5000 0.7500
Pt: 0.2500 0.0000 0.5000
Pt: 0.5000 0.2500 0.0000
Pt: 0.5000 0.7500 0.0000
Pt: 0.7500 0.0000 0.5000

Results
The calculation puts the density of states at the Fermi level at 5.73 states/eV per cell. Its space group is Pm-3n. The uncorrected energy comes out at -5.790 eV per atom. The size of the total moment comes out at 0.000 μB/f.u.